Computed, not measured: a relaxed structure of Na2AgHgH at the PBE level of DFT.

a b c (Å): 5.0559 5.0559 3.8237
angles (deg): 90.00 90.00 90.00
Atoms (fractional coordinates):
Na 0.0000 0.5000 0.0000
Na 0.5000 0.0000 0.0000
Hg 0.5000 0.5000 0.5000
Ag 0.0000 0.0000 0.5000
H 0.0000 0.0000 0.0000

Summary:
Crystal system: tetragonal
ΔE to the lowest computed polymorph: 0.0000 eV/atom